Arrangement 1

{
  "formula": "LaCu2Mo",
  "functional": "PBE",
  "state": "optimized geometry",
  "lattice_angstrom": [[-5.1268, -0.7968, -1.6477], [-4.6709, -2.7492, 0.5077], [-3.4765, 2.3240, 2.8404]],
  "species": ["Cu", "Cu", "La", "Mo"],
  "fractional_positions": [[0.2775, 0.2775, 0.2632], [0.9849, 0.9849, 0.9573], [0.5073, 0.5073, 0.4508], [0.7304, 0.7304, 0.8287]]
}

=====

Arrangement 2

{
  "formula": "LaCu2Mo",
  "functional": "PBE",
  "state": "optimized geometry",
  "lattice_angstrom": [[-0.2303, -2.7781, -3.7993], [1.7903, -4.3562, 0.1545], [-2.8773, -3.7319, -0.0191]],
  "species": ["Cu", "Cu", "Mo", "La"],
  "fractional_positions": [[0.0000, 0.0000, 0.0000], [0.2500, 0.2500, 0.2500], [0.7500, 0.7500, 0.7500], [0.5000, 0.5000, 0.5000]]
}

=====

Arrangement 3

{
  "formula": "LaCu2Mo",
  "functional": "PBE",
  "state": "optimized geometry",
  "lattice_angstrom": [[-1.3447, -4.1861, 1.8521], [-4.6160, -1.2039, 0.0725], [-1.6063, -3.4669, -2.8571]],
  "species": ["Cu", "Cu", "Mo", "La"],
  "fractional_positions": [[0.7500, 0.7500, 0.7500], [0.2500, 0.2500, 0.2500], [0.0000, 0.0000, 0.0000], [0.5000, 0.5000, 0.5000]]
}

=====

Arrangement 4

{
  "formula": "LaCu2Mo",
  "functional": "PBE",
  "state": "optimized geometry",
  "lattice_angstrom": [[-0.7468, -2.6084, 1.2458], [0.2969, -1.3505, -2.6461], [7.5787, -1.4181, 1.5741]],
  "species": ["La", "Mo", "Cu", "Cu"],
  "fractional_positions": [[0.5000, 0.5000, 0.2500], [0.5000, 0.5000, 0.7500], [0.0000, 0.0000, 0.9560], [0.0000, 0.0000, 0.5440]]
}

=====

Referenced to the most stable arrangement, the calculated values in meV/atom are arrangement 1 96; arrangement 2 280; arrangement 3 129; arrangement 4 0.